Material: Y2RhSe
Method: DFT, PBE-GGA
State: optimized geometry

The energy is -55.023 eV for the cell shown. The value obtained for the density is 6.77 g cm⁻³.

abc: 3.999 3.999 11.032
angles: 90.00 90.00 90.00
Space group I-4m2 (No. 119)
Inequivalent atoms, fractional coordinates:
Y1 0.000 0.000 0.000 [2 per cell]
Y2 0.000 0.500 0.250 [2 per cell]
Rh1 0.000 0.500 0.750 [2 per cell]
Se1 0.000 0.000 0.500 [2 per cell]